VASP calculation (PBE-GGA) on crystalline SmPuAgSn at its relaxed geometry.

abc: 5.3217 5.3217 5.3217
angles: 60.00 60.00 60.00
Last column: nearest neighbours and their distance in Å.
Element x y z (fractional)
Pu: 0.0000 0.0000 0.0000  4 Ag 3.26, 4 Sn 3.26
Ag: 0.7500 0.7500 0.7500  4 Sm 3.26, 4 Pu 3.26
Sn: 0.2500 0.2500 0.2500  4 Sm 3.26, 4 Pu 3.26
Sm: 0.5000 0.5000 0.5000  4 Sn 3.26, 4 Ag 3.26

- Crystal system: cubic
- Space group: No. 216
- ΔE_f: -123 kJ/mol of formula units